## Tl8SeS4 (PBE)

Data for a relaxed Tl8SeS4 crystal.

Cell: 12.344 12.344 12.344 Å, 90.00 90.00 90.00°
Space group F-43m (No. 216)
Unique sites:
1 Tl 0.111 0.111 0.389 [16 per cell]
2 Tl 0.131 0.131 0.869 [16 per cell]
3 Se 0.250 0.250 0.250 [4 per cell]
4 S 0.130 0.130 0.630 [16 per cell]

Output
Formation energy (no corrections) in kJ/mol of atoms: -21.3
Calculated volume in Å³/cell: 1881.1
Spin magnetization in Bohr magnetons per cell: 0.02